Density functional theory data (PBE+U) for an optimized crystal structure of AcCrAsO2.

## Properties
DOS at the Fermi energy (states/eV per cell): 8.3
Electronic total energy (eV/f.u.): -34.92

a b c (Å): 5.945 12.122 5.688
angles (deg): 90.00 90.00 90.00
Space group Cmcm (No. 63)
Unique sites:
Ac 0.000 0.114 0.250 (multiplicity 4)
Cr 0.000 0.487 0.750 (multiplicity 4)
As 0.000 0.272 0.750 (multiplicity 4)
O 0.236 0.500 0.000 (multiplicity 8)